[1]
Density functional theory data (PBE) for a geometry-optimized TbPr5Er12 structure.

Its volume is 580.15 Å³/cell. The density of states at the Fermi level comes out at 1.528 states/eV per atom. The calculation puts the total energy at -4.53 eV per atom.

a = 10.4305 Å, b = 10.4305 Å, c = 5.7444 Å
α = 90.00°, β = 90.00°, γ = 111.83°
Fractional positions:
Tb: 0.0000 0.0000 0.0000
Pr: 0.1395 0.8605 0.5000
Pr: 0.3582 0.6418 0.0000
Pr: 0.5000 0.5000 0.5000
Pr: 0.6418 0.3582 0.0000
Pr: 0.8605 0.1395 0.5000
Er: 0.0191 0.6650 0.9995
Er: 0.1651 0.5214 0.5005
Er: 0.1965 0.1965 0.4977
Er: 0.3008 0.3008 0.9977
Er: 0.3350 0.9809 0.0005
Er: 0.4786 0.8349 0.4995
Er: 0.5214 0.1651 0.5005
Er: 0.6650 0.0191 0.9995
Er: 0.6992 0.6992 0.0023
Er: 0.8035 0.8035 0.5023
Er: 0.8349 0.4786 0.4995
Er: 0.9809 0.3350 0.0005

=====

[2]
Density functional theory data (PBE) for a geometry-optimized Tb6Pr5Er2 structure.

Its volume is 879.83 Å³/cell. The density of states at the Fermi level comes out at 1.216 states/eV per atom. The calculation puts the total energy at -4.58 eV per atom.

a = 11.7093 Å, b = 20.7387 Å, c = 3.6231 Å
α = 90.00°, β = 90.00°, γ = 90.00°
Fractional positions:
Tb: 0.0632 0.0811 0.0000
Tb: 0.0818 0.3681 0.0000
Tb: 0.1737 0.6394 0.5000
Tb: 0.3263 0.1394 0.5000
Tb: 0.4182 0.8681 0.0000
Tb: 0.4368 0.5811 0.0000
Tb: 0.5632 0.4189 0.0000
Tb: 0.5818 0.1319 0.0000
Tb: 0.6737 0.8606 0.5000
Tb: 0.8263 0.3606 0.5000
Tb: 0.9182 0.6319 0.0000
Tb: 0.9368 0.9189 0.0000
Pr: 0.0000 0.5000 0.5000
Pr: 0.0844 0.2271 0.5000
Pr: 0.1975 0.9482 0.5000
Pr: 0.3025 0.4482 0.5000
Pr: 0.4156 0.7271 0.5000
Pr: 0.5000 0.0000 0.5000
Pr: 0.5844 0.2729 0.5000
Pr: 0.6975 0.5518 0.5000
Pr: 0.8025 0.0518 0.5000
Pr: 0.9156 0.7729 0.5000
Er: 0.1707 0.7893 0.0000
Er: 0.3293 0.2893 0.0000
Er: 0.6707 0.7107 0.0000
Er: 0.8293 0.2107 0.0000

=====

[3]
Density functional theory data (PBE) for a geometry-optimized Tb5PrEr structure.

The value obtained for the offset from the most stable computed form is 882 meV/atom. Its volume is 299.73 Å³/cell. The density of states at the Fermi level comes out at 1.272 states/eV per atom. The calculation puts the total energy at -3.57 eV per atom.

a = 7.9281 Å, b = 7.9281 Å, c = 7.9281 Å
α = 137.13°, β = 113.87°, γ = 82.10°
Fractional positions:
Tb: 0.0000 0.0000 0.0000
Tb: 0.2461 0.7461 0.5000
Tb: 0.3234 0.5000 0.8234
Tb: 0.6766 0.5000 0.1766
Tb: 0.7539 0.2539 0.5000
Pr: 0.0000 0.5000 0.5000
Er: 0.5000 0.0000 0.5000

=====

[4]
Density functional theory data (PBE) for a geometry-optimized Tb3Pr4Er8 structure.

The value obtained for the offset from the most stable computed form is 245 meV/atom. Its volume is 504.35 Å³/cell. The density of states at the Fermi level comes out at 2.007 states/eV per atom. The calculation puts the total energy at -4.27 eV per atom.

a = 9.2918 Å, b = 9.2918 Å, c = 6.7533 Å
α = 111.18°, β = 111.18°, γ = 87.58°
Fractional positions:
Tb: 0.0000 0.0000 0.0000
Tb: 0.0000 0.5000 0.5000
Tb: 0.5000 0.0000 0.5000
Pr: 0.0000 0.5000 0.0000
Pr: 0.5000 0.0000 0.0000
Pr: 0.5000 0.5000 0.0000
Pr: 0.5000 0.5000 0.5000
Er: 0.1370 0.8630 0.5000
Er: 0.2293 0.2293 0.9642
Er: 0.2314 0.2314 0.4877
Er: 0.2438 0.7562 0.0000
Er: 0.7562 0.2438 0.0000
Er: 0.7686 0.7686 0.5123
Er: 0.7707 0.7707 0.0358
Er: 0.8630 0.1370 0.5000

=====

[5]
Density functional theory data (PBE) for a geometry-optimized Tb3PrEr6 structure.

The value obtained for the offset from the most stable computed form is 0 meV/atom. Its volume is 639.54 Å³/cell. The density of states at the Fermi level comes out at 1.192 states/eV per atom. The calculation puts the total energy at -4.48 eV per atom.

a = 8.9648 Å, b = 8.9648 Å, c = 8.9009 Å
α = 90.00°, β = 90.00°, γ = 116.62°
Fractional positions:
Tb: 0.0530 0.9470 0.5000
Tb: 0.1903 0.3089 0.3183
Tb: 0.3089 0.1903 0.8183
Tb: 0.6911 0.8097 0.3183
Tb: 0.8097 0.6911 0.8183
Tb: 0.9470 0.0530 0.0000
Pr: 0.2249 0.7751 0.7315
Pr: 0.7751 0.2249 0.2315
Er: 0.0303 0.3168 0.6457
Er: 0.1741 0.4727 0.9883
Er: 0.2845 0.7155 0.3639
Er: 0.3168 0.0303 0.1457
Er: 0.4510 0.5490 0.6296
Er: 0.4727 0.1741 0.4883
Er: 0.5273 0.8259 0.9883
Er: 0.5490 0.4510 0.1296
Er: 0.6832 0.9697 0.6457
Er: 0.7155 0.2845 0.8639
Er: 0.8259 0.5273 0.4883
Er: 0.9697 0.6832 0.1457

=====

[6]
Density functional theory data (PBE) for a geometry-optimized Tb2Pr7Er2 structure.

The value obtained for the offset from the most stable computed form is 0 meV/atom. Its volume is 386.13 Å³/cell. The density of states at the Fermi level comes out at 1.484 states/eV per atom. The calculation puts the total energy at -4.59 eV per atom.

a = 7.0197 Å, b = 7.0197 Å, c = 8.3054 Å
α = 98.38°, β = 98.38°, γ = 103.84°
Fractional positions:
Tb: 0.0839 0.0839 0.3207
Tb: 0.9161 0.9161 0.6793
Pr: 0.0148 0.5914 0.3288
Pr: 0.3003 0.3003 0.0160
Pr: 0.4086 0.9852 0.6712
Pr: 0.5000 0.5000 0.5000
Pr: 0.5914 0.0148 0.3288
Pr: 0.6997 0.6997 0.9840
Pr: 0.9852 0.4086 0.6712
Er: 0.2129 0.7871 0.0000
Er: 0.7871 0.2129 0.0000

=====

[7]
Density functional theory data (PBE) for a geometry-optimized TbPr4Er7 structure.

The value obtained for the offset from the most stable computed form is 0 meV/atom. Its volume is 393.48 Å³/cell. The density of states at the Fermi level comes out at 1.549 states/eV per atom. The calculation puts the total energy at -4.55 eV per atom.

a = 6.5859 Å, b = 6.8575 Å, c = 9.0618 Å
α = 84.24°, β = 77.24°, γ = 81.17°
Fractional positions:
Tb: 0.0000 0.0000 0.0000
Pr: 0.1682 0.6137 0.3072
Pr: 0.3599 0.1908 0.7131
Pr: 0.6401 0.8092 0.2868
Pr: 0.8318 0.3863 0.6928
Er: 0.0000 0.5000 0.0000
Er: 0.1846 0.1051 0.3801
Er: 0.3204 0.7012 0.6444
Er: 0.4886 0.2473 0.0478
Er: 0.5114 0.7527 0.9522
Er: 0.6796 0.2988 0.3556
Er: 0.8154 0.8949 0.6199

=====

[8]
Density functional theory data (PBE) for a geometry-optimized Tb3Pr6Er2 structure.

The value obtained for the offset from the most stable computed form is 214 meV/atom. Its volume is 391.07 Å³/cell. The density of states at the Fermi level comes out at 1.519 states/eV per atom. The calculation puts the total energy at -4.40 eV per atom.

a = 17.4627 Å, b = 17.4627 Å, c = 17.4627 Å
α = 164.28°, β = 164.28°, γ = 22.31°
Fractional positions:
Tb: 0.0000 0.0000 0.0000
Tb: 0.1931 0.1931 0.0000
Tb: 0.8069 0.8069 0.0000
Pr: 0.1190 0.6190 0.5000
Pr: 0.2933 0.2933 0.0000
Pr: 0.3810 0.8810 0.5000
Pr: 0.6190 0.1190 0.5000
Pr: 0.7067 0.7067 0.0000
Pr: 0.8810 0.3810 0.5000
Er: 0.4554 0.4554 0.0000
Er: 0.5446 0.5446 0.0000

=====

[9]
Density functional theory data (PBE) for a geometry-optimized Tb4Pr3Er2 structure.

The value obtained for the offset from the most stable computed form is 0 meV/atom. Its volume is 296.80 Å³/cell. The density of states at the Fermi level comes out at 1.350 states/eV per atom. The calculation puts the total energy at -4.65 eV per atom.

a = 6.2209 Å, b = 6.2313 Å, c = 9.5307 Å
α = 108.91°, β = 90.16°, γ = 119.91°
Fractional positions:
Tb: 0.1643 0.3314 0.9999
Tb: 0.2767 0.8872 0.3334
Tb: 0.7233 0.1128 0.6666
Tb: 0.8357 0.6686 0.0001
Pr: 0.3874 0.4428 0.6662
Pr: 0.5000 0.0000 0.0000
Pr: 0.6126 0.5572 0.3338
Er: 0.0544 0.7759 0.6660
Er: 0.9456 0.2241 0.3340

=====

[10]
Density functional theory data (PBE) for a geometry-optimized Tb5Pr6Er2 structure.

Its volume is 890.23 Å³/cell. The density of states at the Fermi level comes out at 1.149 states/eV per atom. The calculation puts the total energy at -4.59 eV per atom.

a = 11.7519 Å, b = 20.8212 Å, c = 3.6382 Å
α = 90.00°, β = 90.00°, γ = 90.00°
Fractional positions:
Tb: 0.0000 0.0000 0.0000
Tb: 0.0921 0.2725 0.0000
Tb: 0.1968 0.5561 0.0000
Tb: 0.3032 0.0561 0.0000
Tb: 0.4079 0.7725 0.0000
Tb: 0.5000 0.5000 0.0000
Tb: 0.5921 0.2275 0.0000
Tb: 0.6968 0.9439 0.0000
Tb: 0.8032 0.4439 0.0000
Tb: 0.9079 0.7275 0.0000
Pr: 0.0619 0.4190 0.5000
Pr: 0.0848 0.1320 0.5000
Pr: 0.1719 0.8629 0.0000
Pr: 0.3281 0.3629 0.0000
Pr: 0.4152 0.6320 0.5000
Pr: 0.4381 0.9190 0.5000
Pr: 0.5619 0.0810 0.5000
Pr: 0.5848 0.3680 0.5000
Pr: 0.6719 0.6371 0.0000
Pr: 0.8281 0.1371 0.0000
Pr: 0.9152 0.8680 0.5000
Pr: 0.9381 0.5810 0.5000
Er: 0.1654 0.7094 0.5000
Er: 0.3346 0.2094 0.5000
Er: 0.6654 0.7906 0.5000
Er: 0.8346 0.2906 0.5000

=====

[11]
Density functional theory data (PBE) for a geometry-optimized TbPr4Er3 structure.

The value obtained for the offset from the most stable computed form is 0 meV/atom. Its volume is 536.01 Å³/cell. The density of states at the Fermi level comes out at 1.634 states/eV per atom. The calculation puts the total energy at -4.65 eV per atom.

a = 5.1239 Å, b = 10.2468 Å, c = 10.2092 Å
α = 90.00°, β = 90.00°, γ = 90.00°
Fractional positions:
Tb: 0.2500 0.2500 0.1184
Tb: 0.7500 0.7500 0.8816
Pr: 0.2500 0.9997 0.3698
Pr: 0.2500 0.2500 0.6308
Pr: 0.2500 0.5003 0.3698
Pr: 0.2500 0.7500 0.6303
Pr: 0.7500 0.0003 0.6302
Pr: 0.7500 0.2500 0.3697
Pr: 0.7500 0.4997 0.6302
Pr: 0.7500 0.7500 0.3692
Er: 0.2500 0.0000 0.8815
Er: 0.2500 0.5000 0.8815
Er: 0.2500 0.7500 0.1190
Er: 0.7500 0.0000 0.1185
Er: 0.7500 0.2500 0.8810
Er: 0.7500 0.5000 0.1185

=====

[12]
Density functional theory data (PBE) for a geometry-optimized Tb3Pr4Er structure.

The value obtained for the offset from the most stable computed form is 0 meV/atom. Its volume is 546.51 Å³/cell. The density of states at the Fermi level comes out at 1.796 states/eV per atom. The calculation puts the total energy at -4.67 eV per atom.

a = 11.7097 Å, b = 7.3637 Å, c = 6.3381 Å
α = 90.00°, β = 90.00°, γ = 90.00°
Fractional positions:
Tb: 0.0000 0.1219 0.0000
Tb: 0.2502 0.1206 0.3319
Tb: 0.2498 0.8794 0.8319
Tb: 0.5000 0.8781 0.5000
Tb: 0.7498 0.1206 0.3319
Tb: 0.7502 0.8794 0.8319
Pr: 0.0000 0.3714 0.4999
Pr: 0.0000 0.6278 0.9936
Pr: 0.2477 0.6289 0.3348
Pr: 0.2523 0.3711 0.8348
Pr: 0.5000 0.3722 0.4936
Pr: 0.5000 0.6286 0.9999
Pr: 0.7477 0.3711 0.8348
Pr: 0.7523 0.6289 0.3348
Er: 0.0000 0.8808 0.4981
Er: 0.5000 0.1192 0.9981

=====

[13]
Density functional theory data (PBE) for a geometry-optimized TbPr4Er6 structure.

Its volume is 370.27 Å³/cell. The density of states at the Fermi level comes out at 1.545 states/eV per atom. The calculation puts the total energy at -4.48 eV per atom.

a = 11.0037 Å, b = 11.0037 Å, c = 3.5312 Å
α = 90.00°, β = 90.00°, γ = 120.00°
Fractional positions:
Tb: 0.0000 0.0000 0.0000
Pr: 0.1966 0.3932 0.5000
Pr: 0.1966 0.8034 0.5000
Pr: 0.6068 0.8034 0.5000
Pr: 0.6667 0.3333 0.0000
Er: 0.3372 0.1686 0.5000
Er: 0.5041 0.0083 0.0000
Er: 0.5041 0.4959 0.0000
Er: 0.8314 0.1686 0.5000
Er: 0.8314 0.6628 0.5000
Er: 0.9917 0.4959 0.0000

=====

[14]
Density functional theory data (PBE) for a geometry-optimized Tb8Pr2Er3 structure.

Its volume is 440.67 Å³/cell. The density of states at the Fermi level comes out at 1.703 states/eV per atom. The calculation puts the total energy at -4.41 eV per atom.

a = 7.6368 Å, b = 5.5427 Å, c = 11.0838 Å
α = 90.00°, β = 110.07°, γ = 90.00°
Fractional positions:
Tb: 0.1069 0.0000 0.2901
Tb: 0.1603 0.5000 0.8222
Tb: 0.3158 0.0000 0.7097
Tb: 0.3731 0.5000 0.2454
Tb: 0.6269 0.5000 0.7546
Tb: 0.6842 0.0000 0.2903
Tb: 0.8397 0.5000 0.1778
Tb: 0.8931 0.0000 0.7099
Pr: 0.2598 0.0000 0.0193
Pr: 0.7402 0.0000 0.9807
Er: 0.2136 0.5000 0.5001
Er: 0.5000 0.0000 0.5000
Er: 0.7864 0.5000 0.4999

=====

[15]
Density functional theory data (PBE) for a geometry-optimized Tb3Pr8Er4 structure.

Its volume is 518.42 Å³/cell. The density of states at the Fermi level comes out at 1.508 states/eV per atom. The calculation puts the total energy at -4.36 eV per atom.

a = 9.2580 Å, b = 9.2580 Å, c = 6.9055 Å
α = 110.63°, β = 110.63°, γ = 83.09°
Fractional positions:
Tb: 0.0000 0.0000 0.0000
Tb: 0.0000 0.5000 0.5000
Tb: 0.5000 0.0000 0.5000
Pr: 0.2047 0.2047 0.6756
Pr: 0.2060 0.7940 0.5000
Pr: 0.2543 0.7457 0.0000
Pr: 0.2564 0.2564 0.2113
Pr: 0.7436 0.7436 0.7887
Pr: 0.7457 0.2543 0.0000
Pr: 0.7940 0.2060 0.5000
Pr: 0.7953 0.7953 0.3244
Er: 0.0000 0.5000 0.0000
Er: 0.5000 0.0000 0.0000
Er: 0.5000 0.5000 0.0000
Er: 0.5000 0.5000 0.5000

=====

[16]
Density functional theory data (PBE) for a geometry-optimized TbPr12Er7 structure.

The value obtained for the offset from the most stable computed form is 84 meV/atom. Its volume is 701.84 Å³/cell. The density of states at the Fermi level comes out at 1.442 states/eV per atom. The calculation puts the total energy at -4.47 eV per atom.

a = 11.5616 Å, b = 11.5616 Å, c = 11.5616 Å
α = 116.81°, β = 116.81°, γ = 116.81°
Fractional positions:
Tb: 0.0000 0.0000 0.0000
Pr: 0.0663 0.4187 0.4187
Pr: 0.0881 0.5000 0.9119
Pr: 0.0881 0.9119 0.5000
Pr: 0.4187 0.0663 0.4187
Pr: 0.4187 0.4187 0.0663
Pr: 0.5000 0.0881 0.9119
Pr: 0.5000 0.9119 0.0881
Pr: 0.5813 0.5813 0.9337
Pr: 0.5813 0.9337 0.5813
Pr: 0.9119 0.0881 0.5000
Pr: 0.9119 0.5000 0.0881
Pr: 0.9337 0.5813 0.5813
Er: 0.1234 0.1234 0.3672
Er: 0.1234 0.3672 0.1234
Er: 0.3672 0.1234 0.1234
Er: 0.5000 0.5000 0.5000
Er: 0.6328 0.8766 0.8766
Er: 0.8766 0.6328 0.8766
Er: 0.8766 0.8766 0.6328

=====

[17]
Density functional theory data (PBE) for a geometry-optimized Tb6Pr4Er structure.

The value obtained for the offset from the most stable computed form is 0 meV/atom. Its volume is 381.98 Å³/cell. The density of states at the Fermi level comes out at 1.491 states/eV per atom. The calculation puts the total energy at -4.52 eV per atom.

a = 11.0844 Å, b = 11.0844 Å, c = 3.5899 Å
α = 90.00°, β = 90.00°, γ = 120.00°
Fractional positions:
Tb: 0.1796 0.3592 0.0000
Tb: 0.1796 0.8204 0.0000
Tb: 0.3070 0.1535 0.5000
Tb: 0.6408 0.8204 0.0000
Tb: 0.8465 0.1535 0.5000
Tb: 0.8465 0.6930 0.5000
Pr: 0.0000 0.0000 0.0000
Pr: 0.5038 0.0077 0.5000
Pr: 0.5038 0.4962 0.5000
Pr: 0.9923 0.4962 0.5000
Er: 0.6667 0.3333 0.0000

=====

[18]
Density functional theory data (PBE) for a geometry-optimized TbPr5Er structure.

Its volume is 496.90 Å³/cell. The density of states at the Fermi level comes out at 1.444 states/eV per atom. The calculation puts the total energy at -4.55 eV per atom.

a = 9.3892 Å, b = 9.3892 Å, c = 9.1681 Å
α = 93.72°, β = 93.72°, γ = 141.18°
Fractional positions:
Tb: 0.0000 0.0000 0.0000
Tb: 0.0000 0.0000 0.5000
Pr: 0.0166 0.3865 0.6463
Pr: 0.1404 0.8596 0.7500
Pr: 0.2384 0.5402 0.0354
Pr: 0.3865 0.0166 0.1463
Pr: 0.4598 0.7616 0.4646
Pr: 0.5402 0.2384 0.5354
Pr: 0.6135 0.9834 0.8537
Pr: 0.7616 0.4598 0.9646
Pr: 0.8596 0.1404 0.2500
Pr: 0.9834 0.6135 0.3537
Er: 0.4890 0.5110 0.7500
Er: 0.5110 0.4890 0.2500